(1)
# CaTaNi2, optimized geometry, DFT PBE-GGA
data_CaTaNi2
_cell_length_a 7.036
_cell_length_b 7.036
_cell_length_c 6.223
_cell_angle_alpha 90.00
_cell_angle_beta 90.00
_cell_angle_gamma 90.00
_symmetry_space_group_name_H-M 'I -4 2 d'
_symmetry_Int_Tables_number 122
_symmetry_space_group_name_Hall 'I -4 2bw'
loop_
_atom_site_label
_atom_site_fract_x
_atom_site_fract_y
_atom_site_fract_z
Ca1 0.000 0.000 0.000
Ta1 0.000 0.000 0.500
Ni1 0.201 0.250 0.625
# V (Å³ per cell): 308.1
# Size of the total moment (μB per atom): 0.00
# Excess energy over the best structure of this formula in the dataset (eV/f.u.): 2.505
# DOS at the Fermi energy (states/eV per atom): 1.498

=====

(2)
# Ca2TaNi, optimized geometry, DFT PBE-GGA
data_Ca2TaNi
_cell_length_a 3.306
_cell_length_b 3.306
_cell_length_c 8.990
_cell_angle_alpha 90.00
_cell_angle_beta 90.00
_cell_angle_gamma 90.00
_symmetry_space_group_name_H-M 'P 4 m m'
_symmetry_Int_Tables_number 99
loop_
_symmetry_equiv_pos_as_xyz
'x,y,z'
'-y,x,z'
'-x,-y,z'
'y,-x,z'
'-x,y,z'
'y,x,z'
'x,-y,z'
'-y,-x,z'
loop_
_atom_site_label
_atom_site_fract_x
_atom_site_fract_y
_atom_site_fract_z
Ca1 0.000 0.000 0.000
Ca2 0.500 0.500 0.372
Ta1 0.500 0.500 0.728
Ni1 0.000 0.000 0.616
# V (Å³ per cell): 98.2
# Size of the total moment (μB per atom): 0.12
# Excess energy over the best structure of this formula in the dataset (eV/f.u.): 0.000
# DOS at the Fermi energy (states/eV per atom): 1.115

=====

(3)
# CaTaNi2, optimized geometry, DFT PBE-GGA
data_CaTaNi2
_cell_length_a 3.777
_cell_length_b 3.777
_cell_length_c 9.157
_cell_angle_alpha 90.00
_cell_angle_beta 90.00
_cell_angle_gamma 90.00
_symmetry_space_group_name_H-M 'I -4 m 2'
_symmetry_Int_Tables_number 119
_symmetry_space_group_name_Hall 'I -4 -2'
loop_
_atom_site_label
_atom_site_fract_x
_atom_site_fract_y
_atom_site_fract_z
Ca1 0.000 0.000 0.000
Ta1 0.000 0.500 0.250
Ni1 0.000 0.000 0.500
Ni2 0.000 0.500 0.750
# V (Å³ per cell): 130.6
# Size of the total moment (μB per atom): 0.00
# Excess energy over the best structure of this formula in the dataset (eV/f.u.): 2.121
# DOS at the Fermi energy (states/eV per atom): 1.054

=====

(4)
# Ca3TaNi, optimized geometry, DFT PBE-GGA
data_Ca3TaNi
_cell_length_a 5.291
_cell_length_b 5.291
_cell_length_c 5.291
_cell_angle_alpha 90.00
_cell_angle_beta 90.00
_cell_angle_gamma 90.00
_symmetry_space_group_name_H-M 'P m -3 m'
_symmetry_Int_Tables_number 221
_symmetry_space_group_name_Hall '-P 4 2 3'
loop_
_atom_site_label
_atom_site_fract_x
_atom_site_fract_y
_atom_site_fract_z
Ca1 0.000 0.000 0.500
Ta1 0.500 0.500 0.500
Ni1 0.000 0.000 0.000
# V (Å³ per cell): 148.1
# Size of the total moment (μB per atom): 0.67
# Excess energy over the best structure of this formula in the dataset (eV/f.u.): 0.000
# DOS at the Fermi energy (states/eV per atom): 0.957

=====

(5)
# Ca2TaNi, optimized geometry, DFT PBE-GGA
data_Ca2TaNi
_cell_length_a 3.251
_cell_length_b 3.812
_cell_length_c 17.054
_cell_angle_alpha 90.00
_cell_angle_beta 90.00
_cell_angle_gamma 90.00
_symmetry_space_group_name_H-M 'I m m m'
_symmetry_Int_Tables_number 71
_symmetry_space_group_name_Hall '-I 2 2'
loop_
_atom_site_label
_atom_site_fract_x
_atom_site_fract_y
_atom_site_fract_z
Ca1 0.000 0.000 0.154
Ta1 0.000 0.500 0.000
Ni1 0.000 0.500 0.500
# V (Å³ per cell): 211.4
# Size of the total moment (μB per atom): 0.00
# Excess energy over the best structure of this formula in the dataset (eV/f.u.): 0.546
# DOS at the Fermi energy (states/eV per atom): 1.310

=====

(6)
# CaTaNi2, optimized geometry, DFT PBE-GGA
data_CaTaNi2
_cell_length_a 10.070
_cell_length_b 2.745
_cell_length_c 4.787
_cell_angle_alpha 90.00
_cell_angle_beta 103.02
_cell_angle_gamma 90.00
_symmetry_space_group_name_H-M 'C 1 m 1'
_symmetry_Int_Tables_number 8
loop_
_symmetry_equiv_pos_as_xyz
'x,y,z'
'x,-y,z'
'x+1/2,y+1/2,z'
'x+1/2,-y+1/2,z'
loop_
_atom_site_label
_atom_site_fract_x
_atom_site_fract_y
_atom_site_fract_z
Ca1 0.000 0.000 0.000
Ta1 0.208 0.000 0.611
Ni1 0.258 0.500 0.147
Ni2 0.455 0.000 0.483
# V (Å³ per cell): 128.9
# Size of the total moment (μB per atom): 0.00
# Excess energy over the best structure of this formula in the dataset (eV/f.u.): 1.171
# DOS at the Fermi energy (states/eV per atom): 0.933

=====

(7)
# CaTa2Ni2, optimized geometry, DFT PBE-GGA
data_CaTa2Ni2
_cell_length_a 7.917
_cell_length_b 7.917
_cell_length_c 2.738
_cell_angle_alpha 90.00
_cell_angle_beta 90.00
_cell_angle_gamma 90.00
_symmetry_space_group_name_H-M 'P 4/m b m'
_symmetry_Int_Tables_number 127
_symmetry_space_group_name_Hall '-P 4 2ab'
loop_
_atom_site_label
_atom_site_fract_x
_atom_site_fract_y
_atom_site_fract_z
Ca1 0.000 0.000 0.000
Ta1 0.128 0.372 0.500
Ni1 0.166 0.666 0.000
# V (Å³ per cell): 171.6
# Size of the total moment (μB per atom): 0.00
# E (eV/cell): -73.32
# DOS at the Fermi energy (states/eV per atom): 0.842

=====

(8)
# Ca3TaNi, optimized geometry, DFT PBE-GGA
data_Ca3TaNi
_cell_length_a 5.506
_cell_length_b 5.506
_cell_length_c 5.506
_cell_angle_alpha 90.00
_cell_angle_beta 90.00
_cell_angle_gamma 90.00
_symmetry_space_group_name_H-M 'P m -3 m'
_symmetry_Int_Tables_number 221
_symmetry_space_group_name_Hall '-P 4 2 3'
loop_
_atom_site_label
_atom_site_fract_x
_atom_site_fract_y
_atom_site_fract_z
Ca1 0.000 0.000 0.500
Ta1 0.000 0.000 0.000
Ni1 0.500 0.500 0.500
# V (Å³ per cell): 166.9
# Size of the total moment (μB per atom): 0.00
# Excess energy over the best structure of this formula in the dataset (eV/f.u.): 3.463
# DOS at the Fermi energy (states/eV per atom): 1.732

=====

(9)
# CaTa2Ni4, optimized geometry, DFT PBE-GGA
data_CaTa2Ni4
_cell_length_a 4.603
_cell_length_b 4.603
_cell_length_c 12.543
_cell_angle_alpha 90.00
_cell_angle_beta 90.00
_cell_angle_gamma 90.00
_symmetry_space_group_name_H-M 'I 4/m m m'
_symmetry_Int_Tables_number 139
_symmetry_space_group_name_Hall '-I 4 2'
loop_
_atom_site_label
_atom_site_fract_x
_atom_site_fract_y
_atom_site_fract_z
Ca1 0.000 0.000 0.000
Ta1 0.000 0.000 0.394
Ni1 0.000 0.000 0.208
Ni2 0.000 0.500 0.000
# V (Å³ per cell): 265.8
# Size of the total moment (μB per atom): 0.00
# E (eV/cell): -82.03
# DOS at the Fermi energy (states/eV per atom): 1.259

=====

(10)
# CaTaNi2, optimized geometry, DFT PBE-GGA
data_CaTaNi2
_cell_length_a 2.9851
_cell_length_b 2.9851
_cell_length_c 26.4958
_cell_angle_alpha 90.00
_cell_angle_beta 90.00
_cell_angle_gamma 120.00
_symmetry_space_group_name_H-M 'R 3 m'
_symmetry_Int_Tables_number 160
_symmetry_space_group_name_Hall 'R 3 -2"'
loop_
_atom_site_label
_atom_site_fract_x
_atom_site_fract_y
_atom_site_fract_z
Ca1 0.0000 0.0000 0.0000
Ta1 0.0000 0.0000 0.7751
Ni1 0.0000 0.0000 0.2496
Ni2 0.0000 0.0000 0.5140
# V (Å³ per cell): 204.5
# Size of the total moment (μB per atom): 0.00
# Excess energy over the best structure of this formula in the dataset (eV/f.u.): 2.469
# DOS at the Fermi energy (states/eV per atom): 0.770

=====

(11)
# Ca2TaNi, optimized geometry, DFT PBE-GGA
data_Ca2TaNi
_cell_length_a 4.129
_cell_length_b 4.129
_cell_length_c 4.944
_cell_angle_alpha 90.00
_cell_angle_beta 90.00
_cell_angle_gamma 90.00
_symmetry_space_group_name_H-M 'P 4/m m m'
_symmetry_Int_Tables_number 123
_symmetry_space_group_name_Hall '-P 4 2'
loop_
_atom_site_label
_atom_site_fract_x
_atom_site_fract_y
_atom_site_fract_z
Ca1 0.000 0.500 0.000
Ta1 0.000 0.000 0.500
Ni1 0.500 0.500 0.500
# V (Å³ per cell): 84.3
# Size of the total moment (μB per atom): 0.01
# Excess energy over the best structure of this formula in the dataset (eV/f.u.): 2.257
# DOS at the Fermi energy (states/eV per atom): 1.321

=====

(12)
# Ca2TaNi, optimized geometry, DFT PBE-GGA
data_Ca2TaNi
_cell_length_a 7.221
_cell_length_b 7.221
_cell_length_c 7.221
_cell_angle_alpha 90.00
_cell_angle_beta 90.00
_cell_angle_gamma 90.00
_symmetry_space_group_name_H-M 'F m -3 m'
_symmetry_Int_Tables_number 225
_symmetry_space_group_name_Hall '-F 4 2 3'
loop_
_atom_site_label
_atom_site_fract_x
_atom_site_fract_y
_atom_site_fract_z
Ca1 0.250 0.250 0.250
Ta1 0.000 0.000 0.000
Ni1 0.000 0.000 0.500
# V (Å³ per cell): 376.5
# Size of the total moment (μB per atom): 0.87
# Excess energy over the best structure of this formula in the dataset (eV/f.u.): 2.863
# DOS at the Fermi energy (states/eV per atom): 1.199

=====

(13)
# Ca4TaNi, optimized geometry, DFT PBE-GGA
data_Ca4TaNi
_cell_length_a 8.884
_cell_length_b 8.884
_cell_length_c 8.884
_cell_angle_alpha 90.00
_cell_angle_beta 90.00
_cell_angle_gamma 90.00
_symmetry_space_group_name_H-M 'F -4 3 m'
_symmetry_Int_Tables_number 216
_symmetry_space_group_name_Hall 'F -4 2 3'
loop_
_atom_site_label
_atom_site_fract_x
_atom_site_fract_y
_atom_site_fract_z
Ca1 0.125 0.125 0.125
Ta1 0.000 0.000 0.500
Ni1 0.250 0.250 0.750
# V (Å³ per cell): 701.2
# Size of the total moment (μB per atom): 0.71
# E (eV/cell): -73.70
# DOS at the Fermi energy (states/eV per atom): 1.275

=====

(14)
# Ca2TaNi, optimized geometry, DFT PBE-GGA
data_Ca2TaNi
_cell_length_a 5.974
_cell_length_b 9.648
_cell_length_c 3.024
_cell_angle_alpha 90.00
_cell_angle_beta 90.00
_cell_angle_gamma 90.00
_symmetry_space_group_name_H-M 'C m m m'
_symmetry_Int_Tables_number 65
_symmetry_space_group_name_Hall '-C 2 2'
loop_
_atom_site_label
_atom_site_fract_x
_atom_site_fract_y
_atom_site_fract_z
Ca1 0.250 0.250 0.000
Ta1 0.000 0.000 0.500
Ni1 0.000 0.500 0.500
# V (Å³ per cell): 174.3
# Size of the total moment (μB per atom): 0.00
# Excess energy over the best structure of this formula in the dataset (eV/f.u.): 2.139
# DOS at the Fermi energy (states/eV per atom): 1.460

=====

(15)
# Ca2TaNi, optimized geometry, DFT PBE-GGA
data_Ca2TaNi
_cell_length_a 10.208
_cell_length_b 10.208
_cell_length_c 4.665
_cell_angle_alpha 90.00
_cell_angle_beta 90.00
_cell_angle_gamma 90.00
_symmetry_space_group_name_H-M 'I -4 2 d'
_symmetry_Int_Tables_number 122
_symmetry_space_group_name_Hall 'I -4 2bw'
loop_
_atom_site_label
_atom_site_fract_x
_atom_site_fract_y
_atom_site_fract_z
Ca1 0.101 0.250 0.125
Ta1 0.000 0.000 0.500
Ni1 0.000 0.000 0.000
# V (Å³ per cell): 486.1
# Size of the total moment (μB per atom): 0.41
# Excess energy over the best structure of this formula in the dataset (eV/f.u.): 2.210
# DOS at the Fermi energy (states/eV per atom): 1.195

=====

(16)
# CaTaNi2, optimized geometry, DFT PBE-GGA
data_CaTaNi2
_cell_length_a 4.768
_cell_length_b 4.768
_cell_length_c 2.825
_cell_angle_alpha 90.00
_cell_angle_beta 90.00
_cell_angle_gamma 90.00
_symmetry_space_group_name_H-M 'P 4/m m m'
_symmetry_Int_Tables_number 123
_symmetry_space_group_name_Hall '-P 4 2'
loop_
_atom_site_label
_atom_site_fract_x
_atom_site_fract_y
_atom_site_fract_z
Ca1 0.000 0.000 0.000
Ta1 0.500 0.500 0.000
Ni1 0.000 0.500 0.500
# V (Å³ per cell): 64.2
# Size of the total moment (μB per atom): 0.00
# Excess energy over the best structure of this formula in the dataset (eV/f.u.): 0.737
# DOS at the Fermi energy (states/eV per atom): 0.430

=====

(17)
# CaTa2VNi, optimized geometry, DFT PBE-GGA
data_CaTa2VNi
_cell_length_a 4.744
_cell_length_b 4.744
_cell_length_c 4.547
_cell_angle_alpha 90.00
_cell_angle_beta 90.00
_cell_angle_gamma 90.00
_symmetry_space_group_name_H-M 'P 4/m m m'
_symmetry_Int_Tables_number 123
_symmetry_space_group_name_Hall '-P 4 2'
loop_
_atom_site_label
_atom_site_fract_x
_atom_site_fract_y
_atom_site_fract_z
Ca1 0.000 0.000 0.000
Ta1 0.000 0.500 0.500
V1 0.500 0.500 0.000
Ni1 0.500 0.500 0.500
# V (Å³ per cell): 102.4
# Size of the total moment (μB per atom): 0.00
# E (eV/cell): -36.06
# DOS at the Fermi energy (states/eV per atom): 2.237

=====

(18)
# CaTbNi, optimized geometry, DFT PBE-GGA
data_CaTbNi
_cell_length_a 3.456
_cell_length_b 3.456
_cell_length_c 12.870
_cell_angle_alpha 90.00
_cell_angle_beta 90.00
_cell_angle_gamma 90.00
_symmetry_space_group_name_H-M 'I 4 m m'
_symmetry_Int_Tables_number 107
_symmetry_space_group_name_Hall 'I 4 -2'
loop_
_atom_site_label
_atom_site_fract_x
_atom_site_fract_y
_atom_site_fract_z
Ca1 0.000 0.000 0.000
Tb1 0.000 0.000 0.256
Ni1 0.000 0.000 0.646
# V (Å³ per cell): 153.7
# Size of the total moment (μB per atom): 0.00
# Excess energy over the best structure of this formula in the dataset (eV/f.u.): 0.351
# DOS at the Fermi energy (states/eV per atom): 0.749

=====

(19)
# CaTbNi, optimized geometry, DFT PBE-GGA
data_CaTbNi
_cell_length_a 19.435
_cell_length_b 4.672
_cell_length_c 7.611
_cell_angle_alpha 90.00
_cell_angle_beta 93.95
_cell_angle_gamma 90.00
_symmetry_space_group_name_H-M 'C 1 2/m 1'
_symmetry_Int_Tables_number 12
loop_
_symmetry_equiv_pos_as_xyz
'x,y,z'
'-x,-y,-z'
'-x,y,-z'
'x,-y,z'
'x+1/2,y+1/2,z'
'-x+1/2,-y+1/2,-z'
'-x+1/2,y+1/2,-z'
'x+1/2,-y+1/2,z'
loop_
_atom_site_label
_atom_site_fract_x
_atom_site_fract_y
_atom_site_fract_z
Ca1 0.066 0.000 0.319
Ca2 0.091 0.500 0.854
Tb1 0.210 0.000 0.613
Tb2 0.218 0.000 0.119
Ni1 0.155 0.500 0.509
Ni2 0.160 0.500 0.205
# V (Å³ per cell): 689.5
# Size of the total moment (μB per atom): 0.00
# Excess energy over the best structure of this formula in the dataset (eV/f.u.): 0.522
# DOS at the Fermi energy (states/eV per atom): 0.796

=====

(20)
# CaTb3Ni8, optimized geometry, DFT PBE-GGA
data_CaTb3Ni8
_cell_length_a 5.0769
_cell_length_b 5.0769
_cell_length_c 24.9007
_cell_angle_alpha 90.00
_cell_angle_beta 90.00
_cell_angle_gamma 120.00
_symmetry_space_group_name_H-M 'R 3 m'
_symmetry_Int_Tables_number 160
_symmetry_space_group_name_Hall 'R 3 -2"'
loop_
_atom_site_label
_atom_site_fract_x
_atom_site_fract_y
_atom_site_fract_z
Ca1 0.0000 0.0000 0.0000
Tb1 0.0000 0.0000 0.3720
Tb2 0.0000 0.0000 0.4980
Tb3 0.0000 0.0000 0.8760
Ni1 0.0000 0.0000 0.1864
Ni2 0.0000 0.0000 0.6863
Ni3 0.0024 0.5012 0.4374
Ni4 0.1677 0.3355 0.2688
# V (Å³ per cell): 555.8
# Size of the total moment (μB per atom): 0.00
# E (eV/cell): -199.97
# DOS at the Fermi energy (states/eV per atom): 0.924